The following is a DFT calculation (PBE) of crystalline TbNdGaRh at its relaxed geometry.

Unit cell a=3.940 b=4.341 c=11.136 alpha=90.00 beta=90.00 gamma=90.00
Space group Amm2 (No. 38)
Symmetry-distinct sites (fractional):
1 Tb 0.000 0.000 0.000 (multiplicity 2)
2 Nd 0.500 0.000 0.714 (multiplicity 2)
3 Ga 0.000 0.000 0.300 (multiplicity 2)
4 Rh 0.500 0.000 0.452 (multiplicity 2)

Calculated values
polymorph energy (0 for the lowest one): 0 meV/atom

The following is a DFT calculation (PBE) of crystalline FePtI5 at its relaxed geometry.

Unit cell a=10.542 b=10.307 c=11.226 alpha=90.00 beta=115.89 gamma=90.00
Space group C2/c (No. 15)
Symmetry-distinct sites (fractional):
1 Fe 0.000 0.035 0.250 (multiplicity 4)
2 Pt 0.250 0.250 0.000 (multiplicity 4)
3 I 0.000 0.234 0.750 (multiplicity 4)
4 I 0.072 0.210 0.121 (multiplicity 8)
5 I 0.235 0.497 0.542 (multiplicity 8)

Calculated values
uncorrected formation energy: -0.08 eV per atom

The following is a DFT calculation (PBE) of crystalline Be17MoPt at its relaxed geometry.

Unit cell a=7.2919 b=7.2919 c=10.6254 alpha=90.00 beta=90.00 gamma=120.00
Space group R3m (No. 160, hexagonal axes)
Symmetry-distinct sites (fractional):
1 Be 0.0000 0.0000 0.0509 (multiplicity 3)
2 Be 0.0000 0.0000 0.2566 (multiplicity 3)
3 Be 0.0025 0.5013 0.3083 (multiplicity 9)
4 Be 0.0337 0.3637 0.8232 (multiplicity 18)
5 Be 0.1706 0.3413 0.3333 (multiplicity 9)
6 Be 0.1740 0.3480 0.9957 (multiplicity 9)
7 Mo 0.0000 0.0000 0.4967 (multiplicity 3)
8 Pt 0.0000 0.0000 0.8031 (multiplicity 3)

The following is a DFT calculation (PBE) of crystalline MnNbSbRh at its relaxed geometry.

Unit cell a=6.423 b=6.423 c=6.423 alpha=90.00 beta=90.00 gamma=90.00
Space group F-43m (No. 216)
Symmetry-distinct sites (fractional):
1 Mn 0.000 0.000 0.000 (multiplicity 4)
2 Nb 0.250 0.250 0.750 (multiplicity 4)
3 Sb 0.000 0.000 0.500 (multiplicity 4)
4 Rh 0.250 0.250 0.250 (multiplicity 4)

Calculated values
uncorrected formation energy: -0.15 eV per atom

The following is a DFT calculation (PBE) of crystalline MgReSn3 at its relaxed geometry.

Unit cell a=5.256 b=5.256 c=5.256 alpha=90.00 beta=90.00 gamma=90.00
Space group Pm-3m (No. 221)
Symmetry-distinct sites (fractional):
1 Mg 0.000 0.000 0.000 (multiplicity 1)
2 Re 0.500 0.500 0.500 (multiplicity 1)
3 Sn 0.000 0.000 0.500 (multiplicity 3)

Calculated values
polymorph energy (0 for the lowest one): 1099 meV/atom

The following is a DFT calculation (PBE) of crystalline PmHoZr at its relaxed geometry.

Unit cell a=3.407 b=3.407 c=14.946 alpha=90.00 beta=90.00 gamma=90.00
Space group I4mm (No. 107)
Symmetry-distinct sites (fractional):
1 Pm 0.000 0.000 0.000 (multiplicity 2)
2 Ho 0.000 0.000 0.688 (multiplicity 2)
3 Zr 0.000 0.000 0.339 (multiplicity 2)

Calculated values
polymorph energy (0 for the lowest one): 0 meV/atom

The following is a DFT calculation (PBE) of crystalline AcPmDy14 at its relaxed geometry.

Unit cell a=11.395 b=7.302 c=12.616 alpha=90.00 beta=90.00 gamma=90.00
Space group Amm2 (No. 38)
Symmetry-distinct sites (fractional):
1 Ac 0.000 0.000 0.000 (multiplicity 2)
2 Pm 0.000 0.000 0.500 (multiplicity 2)
3 Dy 0.000 0.249 0.252 (multiplicity 4)
4 Dy 0.251 0.000 0.669 (multiplicity 4)
5 Dy 0.255 0.000 0.170 (multiplicity 4)
6 Dy 0.256 0.248 0.418 (multiplicity 8)
7 Dy 0.500 0.000 0.001 (multiplicity 2)
8 Dy 0.500 0.000 0.501 (multiplicity 2)
9 Dy 0.500 0.250 0.251 (multiplicity 4)

The following is a DFT calculation (PBE) of crystalline CaTb4Rh4 at its relaxed geometry.

Unit cell a=8.898 b=8.898 c=5.607 alpha=90.00 beta=90.00 gamma=90.00
Space group P4_2/n (No. 86, origin choice 2)
Symmetry-distinct sites (fractional):
1 Ca 0.250 0.250 0.250 (multiplicity 2)
2 Tb 0.073 0.660 0.156 (multiplicity 8)
3 Rh 0.035 0.621 0.654 (multiplicity 8)

Number 1: N(E_F) 6.5 states/eV/cell, calculated total energy -5.629 eV/atom. Number 2: N(E_F) 11.1 states/eV/cell, calculated total energy -3.257 eV/atom. Number 3: N(E_F) 13.1 states/eV/cell, calculated total energy -4.403 eV/atom. Number 4: N(E_F) 7.2 states/eV/cell, calculated total energy -7.828 eV/atom. Number 5: N(E_F) 3.7 states/eV/cell, calculated total energy -3.720 eV/atom. Number 6: N(E_F) 8.7 states/eV/cell, calculated total energy -5.863 eV/atom. Number 7: N(E_F) 53.5 states/eV/cell, calculated total energy -4.557 eV/atom. Number 8: N(E_F) 6.1 states/eV/cell, calculated total energy -6.138 eV/atom.